Entry 1:
This record from Alexandria describes a relaxed structure of HI. The functional is GGA-PBEsol.

a b c (Å): 11.1641 11.1356 8.6295
angles (deg): 90.00 130.23 90.00
Space group C2/c (No. 15)
Asymmetric unit:
1 H 0.1088 0.1459 0.4988
2 H 0.1428 0.1094 0.9944
3 I 0.0045 0.2559 0.5017
4 I 0.2488 0.4965 0.0082

Output
- final energy (eV/atom) = -2.504

=====

Entry 2:
This record from Alexandria describes a relaxed structure of RbGaP2. The functional is GGA-PBEsol.

a b c (Å): 5.0822 5.0822 16.2653
angles (deg): 90.00 90.00 90.00
Space group I4_1/amd (No. 141, origin choice 2)
Asymmetric unit:
1 Rb 0.0000 0.2500 0.3750
2 Ga 0.0000 0.2500 0.8750
3 P 0.0000 0.0000 0.0000

Output
- final energy (eV/atom) = -4.014

=====

Entry 3:
This record from Alexandria describes a relaxed structure of LaMg2B. The functional is GGA-PBEsol.

a b c (Å): 8.1820 8.1820 5.3340
angles (deg): 90.00 90.00 90.00
Space group I-42d (No. 122)
Asymmetric unit:
1 La 0.0000 0.0000 0.0000
2 Mg 0.1548 0.2500 0.6250
3 B 0.0000 0.0000 0.5000

Output
- final energy (eV/atom) = -3.569

=====

Entry 4:
This record from Alexandria describes a relaxed structure of SrSnP2O8. The functional is GGA-PBEsol.

a b c (Å): 16.7548 5.2426 8.1321
angles (deg): 90.00 116.25 90.00
Space group C2/c (No. 15)
Asymmetric unit:
1 Sr 0.0000 0.1739 0.2500
2 Sn 0.2500 0.2500 0.5000
3 P 0.1412 0.2626 0.7568
4 O 0.0504 0.2183 0.5981
5 O 0.1400 0.4775 0.3520
6 O 0.1579 0.0422 0.8989
7 O 0.2218 0.2722 0.7146

Output
- final energy (eV/atom) = -7.359
- formation energy (no corrections) (meV per atom) = -2385.5

=====

Entry 5:
This record from Alexandria describes a relaxed structure of Pr2InAg. The functional is GGA-PBEsol.

a b c (Å): 7.5702 7.5702 7.5702
angles (deg): 90.00 90.00 90.00
Space group Fm-3m (No. 225)
Asymmetric unit:
1 Pr 0.2500 0.2500 0.2500
2 In 0.0000 0.0000 0.0000
3 Ag 0.0000 0.0000 0.5000

Output
- final energy (eV/atom) = -4.526
- polymorph energy (0 for the lowest one) (meV/atom) = 19

=====

Entry 6:
This record from Alexandria describes a relaxed structure of MnRe2Sb. The functional is GGA-PBEsol.

a b c (Å): 4.0464 4.0464 7.3284
angles (deg): 90.00 90.00 90.00
Space group I4/mmm (No. 139)
Asymmetric unit:
1 Mn 0.0000 0.0000 0.0000
2 Re 0.0000 0.5000 0.2500
3 Sb 0.0000 0.0000 0.5000

Output
- final energy (eV/atom) = -9.781
- formation energy (no corrections) (meV per atom) = 464.8

=====

Entry 7:
This record from Alexandria describes a relaxed structure of ReMoW2. The functional is GGA-PBEsol.

a b c (Å): 2.7132 4.4105 5.1940
angles (deg): 90.00 100.04 90.00
Space group P2/m (No. 10)
Asymmetric unit:
1 Re 0.0000 0.0000 0.0000
2 Mo 0.5000 0.0000 0.5000
3 W 0.2537 0.5000 0.7499

Output
- final energy (eV/atom) = -13.130
- polymorph energy (0 for the lowest one) (meV/atom) = 32

=====

Entry 8:
This record from Alexandria describes a relaxed structure of CsRe3S4Br2. The functional is GGA-PBEsol.

a b c (Å): 6.3234 18.3814 9.9411
angles (deg): 90.00 114.30 90.00
Space group P2_1/c (No. 14)
Asymmetric unit:
1 Cs 0.0463 0.1923 0.0614
2 Re 0.1410 0.5822 0.1056
3 Re 0.1755 0.0588 0.6579
4 Re 0.2245 0.0062 0.4286
5 S 0.0843 0.5269 0.3081
6 S 0.1772 0.6222 0.8859
7 S 0.2402 0.1339 0.4806
8 S 0.4991 0.0170 0.3105
9 Br 0.3241 0.6985 0.2440
10 Br 0.4073 0.1405 0.8732

Output
- final energy (eV/atom) = -7.074
- formation energy (no corrections) (meV per atom) = -852.7

=====

Entry 9:
This record from Alexandria describes a relaxed structure of SiPIr2. The functional is GGA-PBEsol.

a b c (Å): 2.8405 3.2843 5.6855
angles (deg): 90.00 90.00 90.00
Space group Pmmm (No. 47)
Asymmetric unit:
1 Si 0.0000 0.0000 0.0000
2 P 0.0000 0.0000 0.5000
3 Ir 0.5000 0.5000 0.2413

Output
- final energy (eV/atom) = -7.959
- polymorph energy (0 for the lowest one) (meV/atom) = 0
- formation energy (no corrections) (meV per atom) = -162.5

=====

Entry 10:
This record from Alexandria describes a relaxed structure of LaInBr2. The functional is GGA-PBEsol.

a b c (Å): 7.5111 7.5111 7.5111
angles (deg): 90.00 90.00 90.00
Space group Fm-3m (No. 225)
Asymmetric unit:
1 La 0.0000 0.0000 0.0000
2 In 0.0000 0.0000 0.5000
3 Br 0.2500 0.2500 0.2500

Output
- final energy (eV/atom) = -3.947
- polymorph energy (0 for the lowest one) (meV/atom) = 184
- formation energy (no corrections) (meV per atom) = -929.7

=====

Entry 11:
This record from Alexandria describes a relaxed structure of TlAgBr3. The functional is GGA-PBEsol.

a b c (Å): 7.4674 7.4674 17.7257
angles (deg): 90.00 90.00 120.00
Space group R3c (No. 161, hexagonal axes)
Asymmetric unit:
1 Tl 0.0000 0.0000 0.0000
2 Ag 0.0000 0.0000 0.2363
3 Br 0.1139 0.3351 0.3185

Output
- final energy (eV/atom) = -2.762
- formation energy (no corrections) (meV per atom) = -451.6

=====

Entry 12:
This record from Alexandria describes a relaxed structure of Ca2TlZn. The functional is GGA-PBEsol.

a b c (Å): 3.7341 3.7341 8.0231
angles (deg): 90.00 90.00 90.00
Space group P4mm (No. 99)
Asymmetric unit:
1 Ca 0.0000 0.0000 0.0000
2 Ca 0.5000 0.5000 0.3635
3 Tl 0.0000 0.0000 0.6021
4 Zn 0.5000 0.5000 0.7898

Output
- final energy (eV/atom) = -2.288

=====

Calculated volume values (in Å³/atom) by entry order: 25.6, 26.3, 22.3, 13.3, 27.1, 15.0, 15.3, 26.3, 13.3, 26.5, 28.5, 28.0.